Compound: VRe3B
Source: the Alexandria database
Functional: GGA-PBE
Structure: relaxed

volume = 13.0 Å³/atom
Fermi-level density of states = 2.773 states/eV/f.u.
offset from the most stable computed form = 0 kJ/mol of formula units
formation energy = -170.9 meV per atom

Cell lengths 6.4501, 2.9161, 7.0085 Å; angles 90.00, 100.70, 90.00 degrees
Last column: nearest neighbours and their distance in Å.
Element x y z (fractional)
V (0.0122, 0.2500, 0.1775)  8 Re 2.56-2.86, 1 B 2.58, 2 V 2.86
V (0.9878, 0.7500, 0.8225)  8 Re 2.56-2.86, 1 B 2.58, 2 V 2.86
Re (0.1753, 0.2500, 0.5614)  2 B 2.21
Re (0.3154, 0.2500, 0.9873)  3 B 2.25-2.46
Re (0.3898, 0.7500, 0.3263)  2 B 2.29
Re (0.6102, 0.2500, 0.6737)  2 B 2.29
Re (0.6846, 0.7500, 0.0127)  3 B 2.25-2.46
Re (0.8247, 0.7500, 0.4386)  2 B 2.21
B (0.3676, 0.7500, 0.7558)  7 Re 2.21-2.46
B (0.6324, 0.2500, 0.2442)  7 Re 2.21-2.46